Entry 1:
# PBE Li2LaBeO4, optimized geometry
# DFT total energy (eV/atom): -6.3645
# Density (g/cm3): 4.4
# Formation energy without anion corrections (eV/atom): -2.325
data_Li2LaBeO4
_symmetry_space_group_name_H-M 'I -4 2 m'
_symmetry_Int_Tables_number 121
_symmetry_space_group_name_Hall 'I -4 2'
_cell_length_a 5.159
_cell_length_b 5.159
_cell_length_c 6.367
_cell_angle_alpha 90.00
_cell_angle_beta 90.00
_cell_angle_gamma 90.00
loop_
_atom_site_label
_atom_site_fract_x
_atom_site_fract_y
_atom_site_fract_z
_atom_site_occupancy
Li1 0.000 0.500 0.250 1
La1 0.000 0.000 0.000 1
Be1 0.000 0.000 0.500 1
O1 0.189 0.189 0.645 1

---

Entry 2:
# PBE PaNbAl2, optimized geometry
# DFT total energy (eV/atom): -6.9872
# Density (g/cm3): 7.8
# Calculated formation energy (meV per atom): -224
# Relative energy among the computed polymorphs (meV/atom): 0
data_PaNbAl2
_symmetry_space_group_name_H-M 'P 1 21/m 1'
_symmetry_Int_Tables_number 11
_cell_length_a 4.772
_cell_length_b 6.637
_cell_length_c 5.269
_cell_angle_alpha 90.00
_cell_angle_beta 106.25
_cell_angle_gamma 90.00
loop_
_symmetry_equiv_pos_as_xyz
'x,y,z'
'-x,-y,-z'
'-x,y+1/2,-z'
'x,-y+1/2,z'
loop_
_atom_site_label
_atom_site_fract_x
_atom_site_fract_y
_atom_site_fract_z
_atom_site_occupancy
Pa1 0.038 0.250 0.136 1
Nb1 0.104 0.750 0.407 1
Al1 0.426 0.052 0.735 1

---

Entry 3:
# PBE GdZnAsO, optimized geometry
# DFT total energy (eV/atom): -8.0497
# Density (g/cm3): 7.2
# Formation energy without anion corrections (eV/atom): -1.809
data_GdZnAsO
_symmetry_space_group_name_H-M 'P 4/n m m'
_symmetry_Int_Tables_number 129
_cell_length_a 4.000
_cell_length_b 4.000
_cell_length_c 8.990
_cell_angle_alpha 90.00
_cell_angle_beta 90.00
_cell_angle_gamma 90.00
loop_
_symmetry_equiv_pos_as_xyz
'x,y,z'
'-x,-y,-z'
'-y+1/2,x,z'
'y+1/2,-x,-z'
'-x+1/2,-y+1/2,z'
'x+1/2,y+1/2,-z'
'y,-x+1/2,z'
'-y,x+1/2,-z'
'x+1/2,-y,-z'
'-x+1/2,y,z'
'-y,-x,-z'
'y,x,z'
'-x,y+1/2,-z'
'x,-y+1/2,z'
'y+1/2,x+1/2,-z'
'-y+1/2,-x+1/2,z'
loop_
_atom_site_label
_atom_site_fract_x
_atom_site_fract_y
_atom_site_fract_z
_atom_site_occupancy
Gd1 0.250 0.250 0.126 1
Zn1 0.250 0.750 0.500 1
As1 0.250 0.250 0.680 1
O1 0.250 0.750 0.000 1

---

Entry 4:
# PBE K2ScPaS4, optimized geometry
# DFT total energy (eV/atom): -5.9194
# Density (g/cm3): 4.0
# Formation energy without anion corrections (eV/atom): -1.603
data_K2ScPaS4
_symmetry_space_group_name_H-M 'P 1 2/m 1'
_symmetry_Int_Tables_number 10
_cell_length_a 6.812
_cell_length_b 3.932
_cell_length_c 7.756
_cell_angle_alpha 90.00
_cell_angle_beta 106.84
_cell_angle_gamma 90.00
loop_
_symmetry_equiv_pos_as_xyz
'x,y,z'
'-x,-y,-z'
'-x,y,-z'
'x,-y,z'
loop_
_atom_site_label
_atom_site_fract_x
_atom_site_fract_y
_atom_site_fract_z
_atom_site_occupancy
K1 0.000 0.000 0.000 1
K2 0.500 0.500 0.000 1
Sc1 0.000 0.500 0.500 1
Pa1 0.500 0.000 0.500 1
S1 0.225 0.000 0.697 1
S2 0.254 0.500 0.295 1

---

Entry 5:
# PBE KSr2Te, optimized geometry
# DFT total energy (eV/atom): -2.5486
# Density (g/cm3): 2.6
# Formation energy without anion corrections (eV/atom): -0.648
data_KSr2Te
_symmetry_space_group_name_H-M 'C 1 m 1'
_symmetry_Int_Tables_number 8
_cell_length_a 23.248
_cell_length_b 4.269
_cell_length_c 4.430
_cell_angle_alpha 90.00
_cell_angle_beta 100.98
_cell_angle_gamma 90.00
loop_
_symmetry_equiv_pos_as_xyz
'x,y,z'
'x,-y,z'
'x+1/2,y+1/2,z'
'x+1/2,-y+1/2,z'
loop_
_atom_site_label
_atom_site_fract_x
_atom_site_fract_y
_atom_site_fract_z
_atom_site_occupancy
K1 0.000 0.000 0.000 1
Sr1 0.175 0.000 0.678 1
Sr2 0.349 0.000 0.349 1
Te1 0.232 0.500 0.235 1

---

Entry 6:
# PBE Tb4PrGa4, optimized geometry
# DFT total energy (eV/atom): -4.3246
# Density (g/cm3): 7.1
# Calculated formation energy (meV per atom): -390
data_Tb4PrGa4
_symmetry_space_group_name_H-M 'I 4/m'
_symmetry_Int_Tables_number 87
_symmetry_space_group_name_Hall '-I 4'
_cell_length_a 10.051
_cell_length_b 10.051
_cell_length_c 4.875
_cell_angle_alpha 90.00
_cell_angle_beta 90.00
_cell_angle_gamma 90.00
loop_
_atom_site_label
_atom_site_fract_x
_atom_site_fract_y
_atom_site_fract_z
_atom_site_occupancy
Tb1 0.129 0.357 0.000 1
Pr1 0.000 0.000 0.000 1
Ga1 0.074 0.176 0.500 1

---

Entry 7:
# PBE Sc4AlPt, optimized geometry
# DFT total energy (eV/atom): -6.5065
# Density (g/cm3): 5.2
# Calculated formation energy (meV per atom): -655
# Relative energy among the computed polymorphs (meV/atom): 0
data_Sc4AlPt
_symmetry_space_group_name_H-M 'F -4 3 m'
_symmetry_Int_Tables_number 216
_symmetry_space_group_name_Hall 'F -4 2 3'
_cell_length_a 12.695
_cell_length_b 12.695
_cell_length_c 12.695
_cell_angle_alpha 90.00
_cell_angle_beta 90.00
_cell_angle_gamma 90.00
loop_
_atom_site_label
_atom_site_fract_x
_atom_site_fract_y
_atom_site_fract_z
_atom_site_occupancy
Sc1 0.000 0.000 0.187 1
Sc2 0.056 0.250 0.750 1
Sc3 0.108 0.108 0.392 1
Al1 0.169 0.169 0.169 1
Pt1 0.105 0.105 0.605 1

---

Entry 8:
# PBE HoAl4Cu2Ni, optimized geometry
# DFT total energy (eV/atom): -4.5795
# Density (g/cm3): 6.0
# Calculated formation energy (meV per atom): -389
data_HoAl4Cu2Ni
_symmetry_space_group_name_H-M 'R -3 m'
_symmetry_Int_Tables_number 166
_symmetry_space_group_name_Hall '-R 3 2"'
_cell_length_a 4.1455
_cell_length_b 4.1455
_cell_length_c 25.6789
_cell_angle_alpha 90.00
_cell_angle_beta 90.00
_cell_angle_gamma 120.00
loop_
_atom_site_label
_atom_site_fract_x
_atom_site_fract_y
_atom_site_fract_z
_atom_site_occupancy
Ho1 0.0000 0.0000 0.0000 1
Al1 0.0000 0.0000 0.1334 1
Al2 0.0000 0.0000 0.4053 1
Cu1 0.0000 0.0000 0.2378 1
Ni1 0.0000 0.0000 0.5000 1

---

Entry 9:
# PBE Sr3Ca12Tb, optimized geometry
# DFT total energy (eV/atom): -2.0616
# Density (g/cm3): 2.2
# Calculated formation energy (meV per atom): 44
data_Sr3Ca12Tb
_symmetry_space_group_name_H-M 'P 4/m m m'
_symmetry_Int_Tables_number 123
_symmetry_space_group_name_Hall '-P 4 2'
_cell_length_a 5.644
_cell_length_b 5.644
_cell_length_c 21.799
_cell_angle_alpha 90.00
_cell_angle_beta 90.00
_cell_angle_gamma 90.00
loop_
_atom_site_label
_atom_site_fract_x
_atom_site_fract_y
_atom_site_fract_z
_atom_site_occupancy
Sr1 0.000 0.000 0.000 1
Sr2 0.000 0.000 0.260 1
Ca1 0.000 0.500 0.130 1
Ca2 0.000 0.500 0.387 1
Ca3 0.500 0.500 0.000 1
Ca4 0.500 0.500 0.258 1
Ca5 0.500 0.500 0.500 1
Tb1 0.000 0.000 0.500 1

---

Entry 10:
# PBE Li3ZrO4, optimized geometry
# DFT total energy (eV/atom): -6.5108
# Density (g/cm3): 3.8
# Formation energy without anion corrections (eV/atom): -2.246
data_Li3ZrO4
_symmetry_space_group_name_H-M 'P m -3 m'
_symmetry_Int_Tables_number 221
_symmetry_space_group_name_Hall '-P 4 2 3'
_cell_length_a 4.263
_cell_length_b 4.263
_cell_length_c 4.263
_cell_angle_alpha 90.00
_cell_angle_beta 90.00
_cell_angle_gamma 90.00
loop_
_atom_site_label
_atom_site_fract_x
_atom_site_fract_y
_atom_site_fract_z
_atom_site_occupancy
Li1 0.000 0.000 0.500 1
Zr1 0.500 0.500 0.500 1
O1 0.000 0.000 0.000 1
O2 0.000 0.500 0.500 1

---

Entry 11:
# PBE Li4Zn3Ag2, optimized geometry
# DFT total energy (eV/atom): -2.0985
# Density (g/cm3): 5.3
# Calculated formation energy (meV per atom): -190
# Relative energy among the computed polymorphs (meV/atom): 0
data_Li4Zn3Ag2
_symmetry_space_group_name_H-M 'C 1 2/m 1'
_symmetry_Int_Tables_number 12
_cell_length_a 8.856
_cell_length_b 4.049
_cell_length_c 8.326
_cell_angle_alpha 90.00
_cell_angle_beta 111.61
_cell_angle_gamma 90.00
loop_
_symmetry_equiv_pos_as_xyz
'x,y,z'
'-x,-y,-z'
'-x,y,-z'
'x,-y,z'
'x+1/2,y+1/2,z'
'-x+1/2,-y+1/2,-z'
'-x+1/2,y+1/2,-z'
'x+1/2,-y+1/2,z'
loop_
_atom_site_label
_atom_site_fract_x
_atom_site_fract_y
_atom_site_fract_z
_atom_site_occupancy
Li1 0.010 0.000 0.337 1
Li2 0.164 0.500 0.886 1
Zn1 0.000 0.000 0.000 1
Zn2 0.160 0.500 0.551 1
Ag1 0.175 0.500 0.225 1

---

Entry 12:
# PBE Ba2LiSn, optimized geometry
# DFT total energy (eV/atom): -2.1600
# Density (g/cm3): 3.7
# Calculated formation energy (meV per atom): 281
data_Ba2LiSn
_symmetry_space_group_name_H-M 'R -3 m'
_symmetry_Int_Tables_number 166
_symmetry_space_group_name_Hall '-R 3 2"'
_cell_length_a 3.9951
_cell_length_b 3.9951
_cell_length_c 38.8681
_cell_angle_alpha 90.00
_cell_angle_beta 90.00
_cell_angle_gamma 120.00
loop_
_atom_site_label
_atom_site_fract_x
_atom_site_fract_y
_atom_site_fract_z
_atom_site_occupancy
Ba1 0.0000 0.0000 0.0896 1
Li1 0.0000 0.0000 0.5000 1
Sn1 0.0000 0.0000 0.0000 1

---

Entry 13:
# PBE CaIn2Br8, optimized geometry
# DFT total energy (eV/atom): -3.0199
# Density (g/cm3): 3.2
# Relative energy among the computed polymorphs (meV/atom): 3
# Formation energy without anion corrections (eV/atom): -1.123
data_CaIn2Br8
_symmetry_space_group_name_H-M 'C 1 2/m 1'
_symmetry_Int_Tables_number 12
_cell_length_a 12.413
_cell_length_b 11.167
_cell_length_c 6.814
_cell_angle_alpha 90.00
_cell_angle_beta 94.47
_cell_angle_gamma 90.00
loop_
_symmetry_equiv_pos_as_xyz
'x,y,z'
'-x,-y,-z'
'-x,y,-z'
'x,-y,z'
'x+1/2,y+1/2,z'
'-x+1/2,-y+1/2,-z'
'-x+1/2,y+1/2,-z'
'x+1/2,-y+1/2,z'
loop_
_atom_site_label
_atom_site_fract_x
_atom_site_fract_y
_atom_site_fract_z
_atom_site_occupancy
Ca1 0.000 0.000 0.000 1
In1 0.218 0.000 0.631 1
Br1 0.089 0.500 0.245 1
Br2 0.106 0.175 0.757 1
Br3 0.206 0.000 0.252 1

---

Entry 14:
# PBE Ca2DyAs3Pt4, optimized geometry
# DFT total energy (eV/atom): -5.5336
# Density (g/cm3): 10.0
# Calculated formation energy (meV per atom): -862
data_Ca2DyAs3Pt4
_symmetry_space_group_name_H-M 'P -4 m 2'
_symmetry_Int_Tables_number 115
_cell_length_a 4.274
_cell_length_b 4.274
_cell_length_c 11.357
_cell_angle_alpha 90.00
_cell_angle_beta 90.00
_cell_angle_gamma 90.00
loop_
_symmetry_equiv_pos_as_xyz
'x,y,z'
'y,-x,-z'
'-x,-y,z'
'-y,x,-z'
'-x,y,z'
'-y,-x,-z'
'x,-y,z'
'y,x,-z'
loop_
_atom_site_label
_atom_site_fract_x
_atom_site_fract_y
_atom_site_fract_z
_atom_site_occupancy
Ca1 0.000 0.500 0.220 1
Dy1 0.000 0.000 0.500 1
As1 0.000 0.500 0.873 1
As2 0.500 0.500 0.500 1
Pt1 0.000 0.000 0.000 1
Pt2 0.000 0.500 0.658 1
Pt3 0.500 0.500 0.000 1

---

Entry 15:
# PBE Sm7GaGe5, optimized geometry
# DFT total energy (eV/atom): -5.0584
# Density (g/cm3): 7.2
# Calculated formation energy (meV per atom): -509
data_Sm7GaGe5
_symmetry_space_group_name_H-M 'I m m 2'
_symmetry_Int_Tables_number 44
_cell_length_a 6.122
_cell_length_b 11.091
_cell_length_c 10.037
_cell_angle_alpha 90.00
_cell_angle_beta 90.00
_cell_angle_gamma 90.00
loop_
_symmetry_equiv_pos_as_xyz
'x,y,z'
'-x,-y,z'
'-x,y,z'
'x,-y,z'
'x+1/2,y+1/2,z+1/2'
'-x+1/2,-y+1/2,z+1/2'
'-x+1/2,y+1/2,z+1/2'
'x+1/2,-y+1/2,z+1/2'
loop_
_atom_site_label
_atom_site_fract_x
_atom_site_fract_y
_atom_site_fract_z
_atom_site_occupancy
Sm1 0.000 0.000 0.000 1
Sm2 0.000 0.000 0.394 1
Sm3 0.000 0.317 0.668 1
Sm4 0.000 0.335 0.112 1
Sm5 0.000 0.500 0.364 1
Ga1 0.000 0.000 0.695 1
Ge1 0.000 0.500 0.878 1
Ge2 0.217 0.261 0.399 1

---

Entry 16:
# PBE Ni3Te8Pd3, optimized geometry
# DFT total energy (eV/atom): -4.4202
# Density (g/cm3): 7.5
# Formation energy without anion corrections (eV/atom): -0.273
data_Ni3Te8Pd3
_symmetry_space_group_name_H-M 'R -3 m'
_symmetry_Int_Tables_number 166
_symmetry_space_group_name_Hall '-R 3 2"'
_cell_length_a 7.7479
_cell_length_b 7.7479
_cell_length_c 19.4023
_cell_angle_alpha 90.00
_cell_angle_beta 90.00
_cell_angle_gamma 120.00
loop_
_atom_site_label
_atom_site_fract_x
_atom_site_fract_y
_atom_site_fract_z
_atom_site_occupancy
Ni1 0.0000 0.5000 0.0000 1
Te1 0.0000 0.0000 0.2635 1
Te2 0.0288 0.5144 0.2580 1
Pd1 0.0000 0.0000 0.1273 1
Pd2 0.0000 0.0000 0.5000 1

---

Entry 17:
# PBE TaBe4Pt, optimized geometry
# DFT total energy (eV/atom): -5.7310
# Density (g/cm3): 10.6
# Calculated formation energy (meV per atom): -265
data_TaBe4Pt
_symmetry_space_group_name_H-M 'F -4 3 m'
_symmetry_Int_Tables_number 216
_symmetry_space_group_name_Hall 'F -4 2 3'
_cell_length_a 6.376
_cell_length_b 6.376
_cell_length_c 6.376
_cell_angle_alpha 90.00
_cell_angle_beta 90.00
_cell_angle_gamma 90.00
loop_
_atom_site_label
_atom_site_fract_x
_atom_site_fract_y
_atom_site_fract_z
_atom_site_occupancy
Ta1 0.000 0.000 0.000 1
Be1 0.130 0.130 0.630 1
Pt1 0.250 0.250 0.250 1

---

Entry 18:
# PBE Ho3Si6NiPt2, optimized geometry
# DFT total energy (eV/atom): -5.9198
# Density (g/cm3): 8.6
# Formation energy without anion corrections (eV/atom): -0.575
data_Ho3Si6NiPt2
_symmetry_space_group_name_H-M 'P -3 m 1'
_symmetry_Int_Tables_number 164
_symmetry_space_group_name_Hall '-P 3 2"'
_cell_length_a 5.2187
_cell_length_b 5.2187
_cell_length_c 9.1273
_cell_angle_alpha 90.00
_cell_angle_beta 90.00
_cell_angle_gamma 120.00
loop_
_atom_site_label
_atom_site_fract_x
_atom_site_fract_y
_atom_site_fract_z
_atom_site_occupancy
Ho1 0.0000 0.0000 0.0000 1
Ho2 0.3333 0.6667 0.5753 1
Si1 0.1636 0.3272 0.2876 1
Ni1 0.0000 0.0000 0.5000 1
Pt1 0.3333 0.6667 0.0764 1

---

Entry 19:
# PBE KSbRh4, optimized geometry
# DFT total energy (eV/atom): -5.4850
# Density (g/cm3): 8.8
# Formation energy without anion corrections (eV/atom): 0.286
data_KSbRh4
_symmetry_space_group_name_H-M 'F -4 3 m'
_symmetry_Int_Tables_number 216
_symmetry_space_group_name_Hall 'F -4 2 3'
_cell_length_a 7.565
_cell_length_b 7.565
_cell_length_c 7.565
_cell_angle_alpha 90.00
_cell_angle_beta 90.00
_cell_angle_gamma 90.00
loop_
_atom_site_label
_atom_site_fract_x
_atom_site_fract_y
_atom_site_fract_z
_atom_site_occupancy
K1 0.000 0.000 0.000 1
Sb1 0.250 0.250 0.250 1
Rh1 0.124 0.124 0.624 1

---

Entry 20:
# PBE La2Nd3N4, optimized geometry
# DFT total energy (eV/atom): -7.6003
# Density (g/cm3): 7.1
# Formation energy without anion corrections (eV/atom): -1.216
data_La2Nd3N4
_symmetry_space_group_name_H-M 'C 1 2/m 1'
_symmetry_Int_Tables_number 12
_cell_length_a 12.249
_cell_length_b 3.668
_cell_length_c 9.157
_cell_angle_alpha 90.00
_cell_angle_beta 119.39
_cell_angle_gamma 90.00
loop_
_symmetry_equiv_pos_as_xyz
'x,y,z'
'-x,-y,-z'
'-x,y,-z'
'x,-y,z'
'x+1/2,y+1/2,z'
'-x+1/2,-y+1/2,-z'
'-x+1/2,y+1/2,-z'
'x+1/2,-y+1/2,z'
loop_
_atom_site_label
_atom_site_fract_x
_atom_site_fract_y
_atom_site_fract_z
_atom_site_occupancy
La1 0.105 0.000 0.383 1
Nd1 0.000 0.500 0.000 1
Nd2 0.208 0.500 0.817 1
N1 0.106 0.000 0.906 1
N2 0.196 0.500 0.302 1